# 1
CdRh3N | GGA-PBE | relaxed

Cell lengths 5.6693, 5.6729, 5.2525 Å; angles 90.00, 122.53, 90.00 degrees
Closest atoms and distances in Å follow each position.
Space group Cm (No. 8)
Symmetry-distinct sites (fractional):
Cd1 0.0000 0.0000 0.0000 (multiplicity 2)  1 N 2.66, 8 Rh 2.84-2.92
Rh1 0.0101 0.2504 0.5203 (multiplicity 4)  2 N 2.04
Rh2 0.0188 0.5000 0.0371 (multiplicity 2)  1 N 1.93
N1 0.2999 0.0000 0.6011 (multiplicity 2)  5 Rh 1.93-2.04

Formation energy (no corrections), eV per atom: 0.109
Total moment, Bohr magnetons per cell: 0.00


# 2
CdRh3N | GGA-PBE | relaxed

Cell lengths 5.0913, 5.0913, 20.7733 Å; angles 90.00, 90.00, 120.00 degrees
Closest atoms and distances in Å follow each position.
Space group R-3 (No. 148, hexagonal axes)
Symmetry-distinct sites (fractional):
Cd1 0.0000 0.0000 0.1654 (multiplicity 6)  6 Rh 2.85-2.88, 3 Cd 2.94
Rh1 0.0032 0.3568 0.3870 (multiplicity 18)  1 N 1.87
N1 0.0000 0.0000 0.4094 (multiplicity 6)  3 Rh 1.87

Formation energy (no corrections), eV per atom: 0.193
Total moment, Bohr magnetons per cell: 0.00


- Which value of total moment does entry 1 give?
  0.00 Bohr magnetons per cell


- Among the records above, which one has the lowest formation energy (no corrections)?
  number 1